Entry 1:
Crystalline NbFeB4 at its relaxed geometry, computed with PBE.

```
data_NbFeB4
_chemical_formula_sum 'Nb4 Fe4 B16'
_cell_length_a 3.1690
_cell_length_b 5.7205
_cell_length_c 11.1257
_cell_angle_alpha 90.00
_cell_angle_beta 90.00
_cell_angle_gamma 90.00
_symmetry_space_group_name_H-M 'P 1'
_symmetry_Int_Tables_number 1
_symmetry_space_group_name_Hall 'P 1'
loop_
_atom_site_label
_atom_site_fract_x
_atom_site_fract_y
_atom_site_fract_z
Nb1 0.0000 0.6296 0.3467
Nb2 0.0000 0.1296 0.1533
Nb3 0.0000 0.8704 0.8467
Nb4 0.0000 0.3704 0.6533
B1 0.5000 0.5217 0.8056
B2 0.5000 0.1310 0.9673
B3 0.5000 0.2091 0.8123
B4 0.5000 0.7909 0.1877
B5 0.5000 0.4783 0.1944
B6 0.5000 0.6310 0.5327
B7 0.5000 0.3690 0.4673
B8 0.5000 0.3842 0.0480
B9 0.5000 0.8842 0.4520
B10 0.5000 0.7091 0.6877
B11 0.5000 0.0217 0.6944
B12 0.5000 0.2909 0.3123
B13 0.5000 0.9783 0.3056
B14 0.5000 0.1158 0.5480
B15 0.5000 0.8690 0.0327
B16 0.5000 0.6158 0.9520
Fe1 0.0000 0.6372 0.0900
Fe2 0.0000 0.1372 0.4100
Fe3 0.0000 0.3628 0.9100
Fe4 0.0000 0.8628 0.5900
```

Calculated values
- formation enthalpy at 0 K (eV per formula unit) = -2.6
- size of the total moment (μB per atom) = 0.000
- SG = Pbam
- Fermi-level density of states (states/eV/f.u.) = 2.94

***

Entry 2:
Crystalline LaPm5Nd4 at its relaxed geometry, computed with PBE.

```
data_LaPm5Nd4
_chemical_formula_sum 'La1 Pm5 Nd4'
_cell_length_a 3.6870
_cell_length_b 3.6870
_cell_length_c 25.9294
_cell_angle_alpha 90.00
_cell_angle_beta 90.00
_cell_angle_gamma 90.00
_symmetry_space_group_name_H-M 'P 1'
_symmetry_Int_Tables_number 1
_symmetry_space_group_name_Hall 'P 1'
loop_
_atom_site_label
_atom_site_fract_x
_atom_site_fract_y
_atom_site_fract_z
Nd1 0.0000 0.0000 0.2009
Nd2 0.0000 0.0000 0.4003
Nd3 0.0000 0.0000 0.5997
Nd4 0.0000 0.0000 0.7991
Pm1 0.5000 0.5000 0.8986
Pm2 0.5000 0.5000 0.6994
Pm3 0.5000 0.5000 0.1014
Pm4 0.5000 0.5000 0.3006
Pm5 0.5000 0.5000 0.5000
La1 0.0000 0.0000 0.0000
```

Calculated values
- formation enthalpy at 0 K (eV per formula unit) = 0.2
- size of the total moment (μB per atom) = 0.000
- excess energy over the best structure of this formula in the dataset (eV per atom) = 0.0000
- SG = P4/mmm
- Fermi-level density of states (states/eV/f.u.) = 15.90

***

Entry 3:
Crystalline LiAlSbTe2 at its relaxed geometry, computed with PBE.

```
data_LiAlSbTe2
_chemical_formula_sum 'Li1 Al1 Sb1 Te2'
_cell_length_a 5.2955
_cell_length_b 5.2955
_cell_length_c 4.8310
_cell_angle_alpha 90.00
_cell_angle_beta 90.00
_cell_angle_gamma 90.00
_symmetry_space_group_name_H-M 'P 1'
_symmetry_Int_Tables_number 1
_symmetry_space_group_name_Hall 'P 1'
loop_
_atom_site_label
_atom_site_fract_x
_atom_site_fract_y
_atom_site_fract_z
Te1 0.5000 0.0000 0.0000
Te2 0.0000 0.5000 0.0000
Al1 0.5000 0.5000 0.5000
Li1 0.0000 0.0000 0.0000
Sb1 0.0000 0.0000 0.5000
```

Calculated values
- size of the total moment (μB per atom) = 0.000
- excess energy over the best structure of this formula in the dataset (eV per atom) = 0.2159
- SG = P4/mmm
- Fermi-level density of states (states/eV/f.u.) = 4.35
- uncorrected formation energy (kJ/mol of atoms) = 32.07

***

Entry 4:
Crystalline Ac2TcGe6Rh at its relaxed geometry, computed with PBE.

```
data_Ac2TcGe6Rh
_chemical_formula_sum 'Ac4 Tc2 Ge12 Rh2'
_cell_length_a 6.5217
_cell_length_b 7.6132
_cell_length_c 8.9903
_cell_angle_alpha 90.00
_cell_angle_beta 90.00
_cell_angle_gamma 90.00
_symmetry_space_group_name_H-M 'P 1'
_symmetry_Int_Tables_number 1
_symmetry_space_group_name_Hall 'P 1'
loop_
_atom_site_label
_atom_site_fract_x
_atom_site_fract_y
_atom_site_fract_z
Tc1 0.5000 0.1574 0.5000
Tc2 0.0000 0.8426 0.0000
Ge1 0.0000 0.8122 0.7238
Ge2 0.6995 0.0441 0.0000
Ge3 0.5000 0.1878 0.7762
Ge4 0.3005 0.0441 0.0000
Ge5 0.1995 0.9559 0.5000
Ge6 0.0000 0.8122 0.2762
Ge7 0.6917 0.4511 0.5000
Ge8 0.8005 0.9559 0.5000
Ge9 0.3083 0.4511 0.5000
Ge10 0.1917 0.5489 0.0000
Ge11 0.5000 0.1878 0.2238
Ge12 0.8083 0.5489 0.0000
Ac1 0.5000 0.7474 0.7498
Ac2 0.0000 0.2526 0.7502
Ac3 0.0000 0.2526 0.2498
Ac4 0.5000 0.7474 0.2502
Rh1 0.0000 0.6211 0.5000
Rh2 0.5000 0.3789 0.0000
```

Calculated values
- formation enthalpy at 0 K (eV per formula unit) = -4.4
- size of the total moment (μB per atom) = 0.000
- SG = Pmmn
- Fermi-level density of states (states/eV/f.u.) = 6.48

***

Entry 5:
Crystalline Mn2VPd5 at its relaxed geometry, computed with PBE.

```
data_Mn2VPd5
_chemical_formula_sum 'Mn4 V2 Pd10'
_cell_length_a 3.9389
_cell_length_b 5.5042
_cell_length_c 10.9884
_cell_angle_alpha 90.00
_cell_angle_beta 90.00
_cell_angle_gamma 90.00
_symmetry_space_group_name_H-M 'P 1'
_symmetry_Int_Tables_number 1
_symmetry_space_group_name_Hall 'P 1'
loop_
_atom_site_label
_atom_site_fract_x
_atom_site_fract_y
_atom_site_fract_z
Pd1 0.0000 0.5000 0.5000
Pd2 0.0000 0.0231 0.2557
Pd3 0.5000 0.7278 0.8831
Pd4 0.0000 0.4769 0.7557
Pd5 0.5000 0.7722 0.3831
Pd6 0.0000 0.5231 0.2443
Pd7 0.0000 0.9769 0.7443
Pd8 0.0000 0.0000 0.0000
Pd9 0.5000 0.2278 0.6169
Pd10 0.5000 0.2722 0.1169
Mn1 0.5000 0.7303 0.6294
Mn2 0.5000 0.2303 0.8706
Mn3 0.5000 0.2697 0.3706
Mn4 0.5000 0.7697 0.1294
V1 0.0000 0.0000 0.5000
V2 0.0000 0.5000 0.0000
```

Calculated values
- formation enthalpy at 0 K (eV per formula unit) = -2.0
- size of the total moment (μB per atom) = 0.811
- SG = Pbam
- Fermi-level density of states (states/eV/f.u.) = 6.34

***

Entry 6:
Crystalline TaReHRu2 at its relaxed geometry, computed with PBE.

```
data_TaReHRu2
_chemical_formula_sum 'Ta1 Re1 H1 Ru2'
_cell_length_a 3.9706
_cell_length_b 3.9706
_cell_length_c 3.9662
_cell_angle_alpha 90.00
_cell_angle_beta 90.00
_cell_angle_gamma 90.00
_symmetry_space_group_name_H-M 'P 1'
_symmetry_Int_Tables_number 1
_symmetry_space_group_name_Hall 'P 1'
loop_
_atom_site_label
_atom_site_fract_x
_atom_site_fract_y
_atom_site_fract_z
Ru1 0.5000 0.0000 0.0000
Ru2 0.0000 0.5000 0.0000
H1 0.0000 0.0000 0.0000
Re1 0.0000 0.0000 0.5000
Ta1 0.5000 0.5000 0.5000
```

Calculated values
- size of the total moment (μB per atom) = 0.000
- excess energy over the best structure of this formula in the dataset (eV per atom) = 0.0000
- SG = P4/mmm
- Fermi-level density of states (states/eV/f.u.) = 4.90